This record from Alexandria via LeMat-Bulk describes a geometry-optimized Ag2ClF2 structure. The functional is PBE-GGA.

```
data_Ag2ClF2
_cell_length_a 7.897
_cell_length_b 9.128
_cell_length_c 9.904
_cell_angle_alpha 90.00
_cell_angle_beta 90.00
_cell_angle_gamma 90.00
_space_group_name_H-M_alt 'F d d d'
_space_group_IT_number 70
loop_
_space_group_symop_operation_xyz
'x,y,z'
'-x,-y,-z'
'-x+1/4,-y+1/4,z'
'x+1/4,y+1/4,-z'
'x,-y+1/4,-z+1/4'
'-x,y+1/4,z+1/4'
'-x+1/4,y,-z+1/4'
'x+1/4,-y,z+1/4'
'x,y+1/2,z+1/2'
'-x,-y+1/2,-z+1/2'
'-x+1/4,-y+3/4,z+1/2'
'x+1/4,y+3/4,-z+1/2'
'x,-y+3/4,-z+3/4'
'-x,y+3/4,z+3/4'
'-x+1/4,y+1/2,-z+3/4'
'x+1/4,-y+1/2,z+3/4'
'x+1/2,y,z+1/2'
'-x+1/2,-y,-z+1/2'
'-x+3/4,-y+1/4,z+1/2'
'x+3/4,y+1/4,-z+1/2'
'x+1/2,-y+1/4,-z+3/4'
'-x+1/2,y+1/4,z+3/4'
'-x+3/4,y,-z+3/4'
'x+3/4,-y,z+3/4'
'x+1/2,y+1/2,z'
'-x+1/2,-y+1/2,-z'
'-x+3/4,-y+3/4,z'
'x+3/4,y+3/4,-z'
'x+1/2,-y+3/4,-z+1/4'
'-x+1/2,y+3/4,z+1/4'
'-x+3/4,y+1/2,-z+1/4'
'x+3/4,-y+1/2,z+1/4'
loop_
_atom_site_label
_atom_site_fract_x
_atom_site_fract_y
_atom_site_fract_z
Ag1 0.125 0.352 0.125
Cl1 0.125 0.125 0.625
F1 0.125 0.125 0.268
```

Calculated values
The volume comes out at 17.8 Å³ per atom. As for the total energy: -124.60 eV for the cell shown. For the formation energy without anion corrections, the calculation gives -19.75 kcal/mol of atoms. Its total moment is 0.000 Bohr magnetons per cell.